A relaxed BaSb2Mo crystal, computed with PBE-GGA.

Output
As for the energy relative to the lowest polymorph listed for this composition: 0.193 eV/atom. Its density of states at the Fermi level is 2.36 states/eV/f.u. The value obtained for the raw formation energy is 0.0 eV/f.u. The value obtained for the total energy is -5.240 eV per atom.

a b c (Å): 4.9790 4.4803 6.9203
angles (deg): 71.11 90.00 90.00
With the nearest neighbours (Å) after each atom.
Fractional coordinates of all 4 atoms:
Ba: 0.0000 0.5941 0.4368  7 Sb 3.54-3.81, 2 Mo 3.83
Mo: 0.5000 0.8165 0.9920  4 Sb 2.65-2.68
Sb: 0.0000 0.8850 0.8551  2 Mo 2.65
Sb: 0.5000 0.2044 0.2161  2 Mo 2.68



A relaxed Ba2SnSbMo crystal, computed with PBE-GGA.

Output
Its density of states at the Fermi level is 5.26 states/eV/f.u. The value obtained for the raw formation energy is 4.2 eV/f.u. The value obtained for the total energy is -3.727 eV per atom.

a b c (Å): 6.5764 5.6822 6.5764
angles (deg): 90.00 90.00 90.00
With the nearest neighbours (Å) after each atom.
Fractional coordinates of all 5 atoms:
Sb: 0.0000 0.5000 0.0000  2 Sn 2.84
Mo: 0.5000 0.5000 0.5000  8 Ba 4.35, 4 Sb 4.65
Ba: 0.0000 0.0000 0.5000  2 Sn 3.29
Ba: 0.5000 0.0000 0.0000  2 Sn 3.29
Sn: 0.0000 0.0000 0.0000  2 Sb 2.84



A relaxed BaSb2TeMo crystal, computed with PBE-GGA.

Output
As for the energy relative to the lowest polymorph listed for this composition: 2.232 eV/atom. Its density of states at the Fermi level is 18.55 states/eV/f.u. The value obtained for the raw formation energy is 10.1 eV/f.u. The value obtained for the total energy is -2.800 eV per atom.

a b c (Å): 5.9663 5.9663 6.1384
angles (deg): 90.00 90.00 90.00
With the nearest neighbours (Å) after each atom.
Fractional coordinates of all 5 atoms:
Sb: 0.0000 0.5000 0.0000  2 Ba 2.98
Sb: 0.5000 0.0000 0.0000  2 Ba 2.98
Mo: 0.5000 0.5000 0.5000  4 Te 4.22, 8 Sb 4.28
Te: 0.0000 0.0000 0.5000  2 Ba 3.07
Ba: 0.0000 0.0000 0.0000  4 Sb 2.98, 2 Te 3.07



A relaxed BaSb2TeMo crystal, computed with PBE-GGA.

Output
As for the energy relative to the lowest polymorph listed for this composition: 0.000 eV/atom. Its density of states at the Fermi level is 4.75 states/eV/f.u. The value obtained for the raw formation energy is -1.0 eV/f.u. The value obtained for the total energy is -5.033 eV per atom.

a b c (Å): 5.2034 5.2034 6.0847
angles (deg): 90.00 90.00 90.00
With the nearest neighbours (Å) after each atom.
Fractional coordinates of all 5 atoms:
Sb: 0.0000 0.5000 0.0000  2 Mo 2.60
Sb: 0.5000 0.0000 0.0000  2 Mo 2.60
Mo: 0.0000 0.0000 0.0000  4 Sb 2.60
Te: 0.0000 0.0000 0.5000  2 Mo 3.04
Ba: 0.5000 0.5000 0.5000  4 Te 3.68, 8 Sb 4.00